1.
An optimized crystal structure of HgPt5, computed with PBE-GGA.

Output
SG = Cm
Crystal system = monoclinic

abc: 5.5770 5.5770 10.9156
angles: 140.81 140.81 29.18
Last column: nearest neighbours and their distance in Å.
Fractional coordinates of all 6 atoms:
Pt  0.7798  0.7798  0.0517  9 Pt 2.81-2.90, 3 Hg 2.85-2.94
Pt  0.4480  0.4480  0.3909  11 Pt 2.79-2.95, 1 Hg 2.90
Pt  0.0994  0.0994  0.7123  10 Pt 2.79-2.93, 2 Hg 2.98
Pt  0.6691  0.6691  0.3411  10 Pt 2.77-2.95, 2 Hg 2.86
Pt  0.3335  0.3335  0.6673  10 Pt 2.77-2.93, 2 Hg 2.83
Hg  0.0035  0.0035  0.0034  2 Hg 2.81, 10 Pt 2.83-2.98

---

2.
An optimized crystal structure of HgPt, computed with PBE-GGA.

Output
SG = I4_1/amd
Crystal system = tetragonal

abc: 5.1363 5.1363 5.1363
angles: 132.14 132.14 70.01
Last column: nearest neighbours and their distance in Å.
Fractional coordinates of all 4 atoms:
Pt  0.5000  0.5000  0.0000  8 Hg 2.95-2.96, 4 Pt 2.96
Pt  0.2500  0.7500  0.5000  8 Hg 2.95-2.96, 4 Pt 2.96
Hg  0.0000  0.0000  0.0000  8 Pt 2.95-2.96, 4 Hg 2.96
Hg  0.7500  0.2500  0.5000  8 Pt 2.95-2.96, 4 Hg 2.96

---

3.
An optimized crystal structure of HgPt, computed with PBE-GGA.

Output
SG = Cmcm
Crystal system = orthorhombic

abc: 3.0068 5.5825 4.6250
angles: 90.00 90.00 74.38
Last column: nearest neighbours and their distance in Å.
Fractional coordinates of all 4 atoms:
Pt  0.0812  0.8377  0.7500  7 Hg 2.84-2.95, 4 Pt 2.90-3.01
Hg  0.6548  0.6904  0.2500  7 Pt 2.84-2.95, 2 Hg 3.01
Pt  0.9188  0.1623  0.2500  7 Hg 2.84-2.95, 4 Pt 2.90-3.01
Hg  0.3452  0.3096  0.7500  7 Pt 2.84-2.95, 2 Hg 3.01

---

4.
An optimized crystal structure of HgPt, computed with PBE-GGA.

Output
SG = P4/nmm
Crystal system = tetragonal

abc: 3.7467 3.7467 6.1517
angles: 90.00 90.00 90.00
Last column: nearest neighbours and their distance in Å.
Fractional coordinates of all 4 atoms:
Pt  0.7500  0.2500  0.0000  4 Pt 2.65, 4 Hg 2.91
Pt  0.2500  0.7500  0.0000  4 Pt 2.65, 4 Hg 2.91
Hg  0.7500  0.7500  0.6386  4 Pt 2.91, 4 Hg 3.15
Hg  0.2500  0.2500  0.3614  4 Pt 2.91, 4 Hg 3.15

---

5.
An optimized crystal structure of Hg3Pt, computed with PBE-GGA.

Output
SG = Pm-3n
ΔE to the lowest computed polymorph = 0.2323 eV per atom
Crystal system = cubic

abc: 5.5295 5.5295 5.5295
angles: 90.00 90.00 90.00
Last column: nearest neighbours and their distance in Å.
Fractional coordinates of all 8 atoms:
Hg  0.7500  0.5000  0.0000  2 Hg 2.76, 4 Pt 3.09
Hg  0.0000  0.2500  0.5000  2 Hg 2.76, 4 Pt 3.09
Pt  0.5000  0.5000  0.5000  12 Hg 3.09
Hg  0.0000  0.7500  0.5000  2 Hg 2.76, 4 Pt 3.09
Pt  0.0000  0.0000  0.0000  12 Hg 3.09
Hg  0.5000  0.0000  0.2500  2 Hg 2.76, 4 Pt 3.09
Hg  0.5000  0.0000  0.7500  2 Hg 2.76, 4 Pt 3.09
Hg  0.2500  0.5000  0.0000  2 Hg 2.76, 4 Pt 3.09

---

6.
An optimized crystal structure of Hg3Pt, computed with PBE-GGA.

Output
SG = Fm-3m
ΔE to the lowest computed polymorph = 0.2442 eV per atom
Crystal system = cubic

abc: 4.8718 4.8718 4.8718
angles: 60.00 60.00 60.00
Last column: nearest neighbours and their distance in Å.
Fractional coordinates of all 4 atoms:
Hg  0.7500  0.7500  0.7500  8 Hg 2.98
Hg  0.0000  0.0000  0.0000  4 Hg 2.98, 4 Pt 2.98
Hg  0.5000  0.5000  0.5000  4 Hg 2.98, 4 Pt 2.98
Pt  0.2500  0.2500  0.2500  8 Hg 2.98

---

7.
An optimized crystal structure of Hg3Pt, computed with PBE-GGA.

Output
SG = I4/mmm
ΔE to the lowest computed polymorph = 0.1777 eV per atom
Crystal system = tetragonal

abc: 5.4316 5.4316 5.4316
angles: 134.13 134.13 66.89
Last column: nearest neighbours and their distance in Å.
Fractional coordinates of all 4 atoms:
Pt  0.0000  0.0000  0.0000  12 Hg 2.99-3.10
Hg  0.2500  0.7500  0.5000  8 Hg 2.99-3.10, 4 Pt 3.10
Hg  0.5000  0.5000  0.0000  4 Pt 2.99, 8 Hg 3.10
Hg  0.7500  0.2500  0.5000  8 Hg 2.99-3.10, 4 Pt 3.10

---

8.
An optimized crystal structure of HgPt, computed with PBE-GGA.

Output
SG = P6_3/m
Crystal system = hexagonal

abc: 8.3443 8.3443 4.6213
angles: 90.00 90.00 120.00
Last column: nearest neighbours and their distance in Å.
Fractional coordinates of all 12 atoms:
Pt  0.8899  0.4389  0.7500  6 Hg 2.77-2.95, 4 Pt 2.80-2.81
Pt  0.5611  0.4510  0.7500  6 Hg 2.77-2.95, 4 Pt 2.80-2.81
Pt  0.1101  0.5611  0.2500  6 Hg 2.77-2.95, 4 Pt 2.80-2.81
Pt  0.4389  0.5490  0.2500  6 Hg 2.77-2.95, 4 Pt 2.80-2.81
Hg  0.7999  0.2027  0.2500  6 Pt 2.77-2.95
Hg  0.2001  0.7973  0.7500  6 Pt 2.77-2.95
Pt  0.5490  0.1101  0.7500  6 Hg 2.77-2.95, 4 Pt 2.80-2.81
Hg  0.7973  0.5972  0.2500  6 Pt 2.77-2.95
Hg  0.5972  0.7999  0.7500  6 Pt 2.77-2.95
Hg  0.4028  0.2001  0.2500  6 Pt 2.77-2.95
Hg  0.2027  0.4028  0.7500  6 Pt 2.77-2.95
Pt  0.4510  0.8899  0.2500  6 Hg 2.77-2.95, 4 Pt 2.80-2.81

---

9.
An optimized crystal structure of HgPt, computed with PBE-GGA.

Output
SG = I4/m
Crystal system = tetragonal

abc: 11.8496 11.8496 2.9013
angles: 90.00 90.00 90.00
Last column: nearest neighbours and their distance in Å.
Fractional coordinates of all 16 atoms:
Hg  0.7703  0.9564  0.5000  5 Pt 2.77-2.92, 2 Hg 2.90
Pt  0.2387  0.8451  0.0000  4 Pt 2.69-2.90, 5 Hg 2.77-2.92
Hg  0.2297  0.0436  0.5000  5 Pt 2.77-2.92, 2 Hg 2.90
Hg  0.7297  0.5436  0.0000  5 Pt 2.77-2.92, 2 Hg 2.90
Hg  0.4564  0.7297  0.0000  5 Pt 2.77-2.92, 2 Hg 2.90
Pt  0.6549  0.7387  0.5000  4 Pt 2.69-2.90, 5 Hg 2.77-2.92
Pt  0.1549  0.2387  0.0000  4 Pt 2.69-2.90, 5 Hg 2.77-2.92
Pt  0.7387  0.3451  0.5000  4 Pt 2.69-2.90, 5 Hg 2.77-2.92
Pt  0.7613  0.1549  0.0000  4 Pt 2.69-2.90, 5 Hg 2.77-2.92
Pt  0.3451  0.2613  0.5000  4 Pt 2.69-2.90, 5 Hg 2.77-2.92
Hg  0.5436  0.2703  0.0000  5 Pt 2.77-2.92, 2 Hg 2.90
Hg  0.0436  0.7703  0.5000  5 Pt 2.77-2.92, 2 Hg 2.90
Pt  0.2613  0.6549  0.5000  4 Pt 2.69-2.90, 5 Hg 2.77-2.92
Hg  0.9564  0.2297  0.5000  5 Pt 2.77-2.92, 2 Hg 2.90
Pt  0.8451  0.7613  0.0000  4 Pt 2.69-2.90, 5 Hg 2.77-2.92
Hg  0.2703  0.4564  0.0000  5 Pt 2.77-2.92, 2 Hg 2.90

---

10.
An optimized crystal structure of HgPt, computed with PBE-GGA.

Output
SG = I-43m
Crystal system = cubic

abc: 8.2885 8.2885 8.2885
angles: 90.00 90.00 90.00
Last column: nearest neighbours and their distance in Å.
Fractional coordinates of all 16 atoms:
Hg  0.7974  0.2026  0.2026  4 Pt 2.61-2.83
Pt  0.8843  0.8843  0.1157  4 Hg 2.61-2.83, 3 Pt 2.71
Hg  0.7026  0.7026  0.2974  4 Pt 2.61-2.83
Pt  0.1157  0.1157  0.1157  4 Hg 2.61-2.83, 3 Pt 2.71
Hg  0.7026  0.2974  0.7026  4 Pt 2.61-2.83
Hg  0.2026  0.2026  0.7974  4 Pt 2.61-2.83
Pt  0.3843  0.3843  0.6157  4 Hg 2.61-2.83, 3 Pt 2.71
Hg  0.7974  0.7974  0.7974  4 Pt 2.61-2.83
Pt  0.6157  0.3843  0.3843  4 Hg 2.61-2.83, 3 Pt 2.71
Pt  0.8843  0.1157  0.8843  4 Hg 2.61-2.83, 3 Pt 2.71
Pt  0.6157  0.6157  0.6157  4 Hg 2.61-2.83, 3 Pt 2.71
Pt  0.1157  0.8843  0.8843  4 Hg 2.61-2.83, 3 Pt 2.71
Hg  0.2026  0.7974  0.2026  4 Pt 2.61-2.83
Pt  0.3843  0.6157  0.3843  4 Hg 2.61-2.83, 3 Pt 2.71
Hg  0.2974  0.7026  0.7026  4 Pt 2.61-2.83
Hg  0.2974  0.2974  0.2974  4 Pt 2.61-2.83

---

11.
An optimized crystal structure of Hg3Pt, computed with PBE-GGA.

Output
SG = Pm-3m
ΔE to the lowest computed polymorph = 0.2096 eV per atom
Crystal system = cubic

abc: 4.3242 4.3242 4.3242
angles: 90.00 90.00 90.00
Last column: nearest neighbours and their distance in Å.
Fractional coordinates of all 4 atoms:
Pt  0.5000  0.5000  0.0000  12 Hg 3.06
Hg  0.0000  0.5000  0.5000  8 Hg 3.06, 4 Pt 3.06
Hg  0.5000  0.0000  0.5000  8 Hg 3.06, 4 Pt 3.06
Hg  0.0000  0.0000  0.0000  8 Hg 3.06, 4 Pt 3.06

---

12.
An optimized crystal structure of Hg3Pt, computed with PBE-GGA.

Output
SG = Pnma
ΔE to the lowest computed polymorph = 0.0049 eV per atom
Crystal system = orthorhombic

abc: 7.3299 8.9183 5.4725
angles: 90.00 90.00 90.00
Last column: nearest neighbours and their distance in Å.
Fractional coordinates of all 16 atoms:
Pt  0.1443  0.7500  0.5804  9 Hg 2.78-3.00
Hg  0.1686  0.4569  0.3653  3 Pt 2.78-2.96, 3 Hg 2.98-3.08
Hg  0.6686  0.4569  0.1347  3 Pt 2.78-2.96, 3 Hg 2.98-3.08
Hg  0.6686  0.0431  0.1347  3 Pt 2.78-2.96, 3 Hg 2.98-3.08
Hg  0.3314  0.5431  0.8653  3 Pt 2.78-2.96, 3 Hg 2.98-3.08
Hg  0.8314  0.9569  0.6347  3 Pt 2.78-2.96, 3 Hg 2.98-3.08
Pt  0.3557  0.2500  0.0804  9 Hg 2.78-3.00
Hg  0.8314  0.5431  0.6347  3 Pt 2.78-2.96, 3 Hg 2.98-3.08
Hg  0.1686  0.0431  0.3653  3 Pt 2.78-2.96, 3 Hg 2.98-3.08
Hg  0.4903  0.2500  0.5974  3 Pt 2.82-3.00
Pt  0.6443  0.7500  0.9196  9 Hg 2.78-3.00
Hg  0.3314  0.9569  0.8653  3 Pt 2.78-2.96, 3 Hg 2.98-3.08
Hg  0.0097  0.7500  0.0974  3 Pt 2.82-3.00
Pt  0.8557  0.2500  0.4196  9 Hg 2.78-3.00
Hg  0.5097  0.7500  0.4026  3 Pt 2.82-3.00
Hg  0.9903  0.2500  0.9026  3 Pt 2.82-3.00

---

13.
An optimized crystal structure of HgPt5, computed with PBE-GGA.

Output
SG = Amm2
Crystal system = orthorhombic

abc: 7.5232 7.5232 4.8084
angles: 90.00 90.00 158.64
Last column: nearest neighbours and their distance in Å.
Fractional coordinates of all 6 atoms:
Hg  0.9958  0.0042  0.0000  2 Hg 2.79, 10 Pt 2.86-2.95
Pt  0.5627  0.4373  0.5000  8 Pt 2.79-2.90, 4 Hg 2.95
Pt  0.2261  0.7739  0.5000  12 Pt 2.79-2.92
Pt  0.6650  0.3350  0.0000  10 Pt 2.76-2.92, 2 Hg 2.86
Pt  0.3262  0.6738  0.0000  10 Pt 2.76-2.94, 2 Hg 2.87
Pt  0.8908  0.1092  0.5000  10 Pt 2.79-2.94, 2 Hg 2.86

---

| no. | DFT formation energy (eV per atom) | total magnetization (μB per cell) |
| --- | --- | --- |
| 1 | 0.068 | 0.0 |
| 2 | 0.128 | 0.0 |
| 3 | 0.072 | 0.0 |
| 4 | 0.227 | 0.0 |
| 5 | 0.221 | 0.0 |
| 6 | 0.233 | 0.0 |
| 7 | 0.166 | 0.0 |
| 8 | 0.090 | 0.0 |
| 9 | 0.071 | 0.0 |
| 10 | 0.440 | 0.0 |
| 11 | 0.198 | 0.0 |
| 12 | -0.007 | 0.0 |
| 13 | 0.076 | 0.0 |